[1]
## SrBeZn2B (SCAN)

Data for SrBeZn2B at its PBEsol-relaxed geometry.

ΔH_f (0 K) = 58 kJ per mole of atoms
crystal system = tetragonal

Cell: 4.1385 4.1385 5.4713 Å, 90.00 90.00 90.00°
Space group P4/mmm (No. 123)
Unique sites:
Sr 0.0000 0.0000 0.0000
Be 0.5000 0.5000 0.0000
Zn 0.0000 0.5000 0.5000
B 0.0000 0.0000 0.5000



[2]
## LuNi5 (SCAN)

Data for LuNi5 at its PBEsol-relaxed geometry.

ΔH_f (0 K) = -32 kJ per mole of atoms
crystal system = hexagonal

Cell: 4.7397 4.7397 3.9012 Å, 90.00 90.00 120.00°
Space group P6/mmm (No. 191)
Unique sites:
Lu 0.0000 0.0000 0.0000
Ni 0.0000 0.5000 0.5000
Ni 0.3333 0.6667 0.0000



[3]
## Zr3In (SCAN)

Data for Zr3In at its PBEsol-relaxed geometry.

ΔH_f (0 K) = -20 kJ per mole of atoms
crystal system = orthorhombic

Cell: 6.2855 8.8584 3.1056 Å, 90.00 90.00 90.00°
Space group Cmmm (No. 65)
Unique sites:
Zr 0.0000 0.0000 0.0000
Zr 0.2500 0.2500 0.5000
In 0.0000 0.5000 0.0000



[4]
## Ga2NiRu (SCAN)

Data for Ga2NiRu at its PBEsol-relaxed geometry.

ΔH_f (0 K) = -33 kJ per mole of atoms
crystal system = cubic

Cell: 5.8760 5.8760 5.8760 Å, 90.00 90.00 90.00°
Space group Fm-3m (No. 225)
Unique sites:
Ga 0.2500 0.2500 0.2500
Ni 0.0000 0.0000 0.0000
Ru 0.0000 0.0000 0.5000



[5]
## Ni3Mo (SCAN)

Data for Ni3Mo at its PBEsol-relaxed geometry.

ΔH_f (0 K) = 6 kJ per mole of atoms
crystal system = tetragonal

Cell: 3.5509 3.5509 14.5498 Å, 90.00 90.00 90.00°
Space group I4/mmm (No. 139)
Unique sites:
Ni 0.0000 0.0000 0.1203
Ni 0.0000 0.5000 0.0000
Ni 0.0000 0.5000 0.2500
Mo 0.0000 0.0000 0.3726



[6]
## YCoPt2 (SCAN)

Data for YCoPt2 at its PBEsol-relaxed geometry.

ΔH_f (0 K) = -55 kJ per mole of atoms
crystal system = tetragonal

Cell: 3.3934 3.3934 5.8540 Å, 90.00 90.00 90.00°
Space group P4mm (No. 99)
Unique sites:
Y 0.0000 0.0000 0.0000
Co 0.5000 0.5000 0.3128
Pt 0.0000 0.0000 0.4702
Pt 0.5000 0.5000 0.7448



[7]
## AlAg6 (SCAN)

Data for AlAg6 at its PBEsol-relaxed geometry.

ΔH_f (0 K) = -4 kJ per mole of atoms
crystal system = orthorhombic
relative energy among the computed polymorphs = 16 meV/atom

Cell: 2.8463 4.0150 20.0209 Å, 90.00 90.00 90.00°
Space group Immm (No. 71)
Unique sites:
Al 0.0000 0.0000 0.0000
Ag 0.0000 0.0000 0.1416
Ag 0.0000 0.0000 0.2862
Ag 0.0000 0.0000 0.4310



[8]
## ZrScCrGe2 (SCAN)

Data for ZrScCrGe2 at its PBEsol-relaxed geometry.

ΔH_f (0 K) = 16 kJ per mole of atoms
crystal system = tetragonal

Cell: 4.5847 4.5847 4.6404 Å, 90.00 90.00 90.00°
Space group P4/mmm (No. 123)
Unique sites:
Zr 0.0000 0.0000 0.0000
Sc 0.5000 0.5000 0.0000
Cr 0.0000 0.0000 0.5000
Ge 0.0000 0.5000 0.5000



[9]
## Ca2CoSi (SCAN)

Data for Ca2CoSi at its PBEsol-relaxed geometry.

crystal system = cubic
formation energy without anion corrections = 0.192 eV per atom

Cell: 6.5836 6.5836 6.5836 Å, 90.00 90.00 90.00°
Space group F-43m (No. 216)
Unique sites:
Ca 0.0000 0.0000 0.0000
Ca 0.2500 0.2500 0.2500
Co 0.2500 0.2500 0.7500
Si 0.0000 0.0000 0.5000



[10]
## ZnFe3Ge (SCAN)

Data for ZnFe3Ge at its PBEsol-relaxed geometry.

ΔH_f (0 K) = 89 kJ per mole of atoms
crystal system = cubic

Cell: 4.2947 4.2947 4.2947 Å, 90.00 90.00 90.00°
Space group Pm-3m (No. 221)
Unique sites:
Zn 0.0000 0.0000 0.0000
Fe 0.0000 0.5000 0.5000
Ge 0.5000 0.5000 0.5000



[11]
## Hg2C (SCAN)

Data for Hg2C at its PBEsol-relaxed geometry.

ΔH_f (0 K) = 180 kJ per mole of atoms
crystal system = tetragonal
relative energy among the computed polymorphs = 182 meV/atom

Cell: 3.0015 3.0015 11.1043 Å, 90.00 90.00 90.00°
Space group I4/mmm (No. 139)
Unique sites:
Hg 0.0000 0.0000 0.1403
C 0.0000 0.0000 0.5000



[12]
## MnMo2Ru (SCAN)

Data for MnMo2Ru at its PBEsol-relaxed geometry.

ΔH_f (0 K) = 13 kJ per mole of atoms
crystal system = orthorhombic
relative energy among the computed polymorphs = 169 meV/atom

Cell: 2.7405 3.7042 5.4347 Å, 90.00 90.00 90.00°
Space group Pmmm (No. 47)
Unique sites:
Mn 0.0000 0.0000 0.0000
Mo 0.5000 0.5000 0.2451
Ru 0.0000 0.0000 0.5000